Record 1
4
Lattice="-4.882 -2.458 -1.248 -0.491 -5.577 0.312 -3.091 -2.319 4.063" Properties=species:S:1:pos:R:3 comment="SrPmSb2 | Alexandria | PBE | optimized geometry" e_form_raw_kj_per_mol_atoms=-79 energy_ev_per_atom=-4.49 dos_ef_per_ev_atom=0.50 sg="No. 225" e_above_lowest_polymorph_ev_per_atom=0.147 pbc="T T T"
Sb -2.116 -2.589 0.782
Sb -6.348 -7.766 2.345
Sr -4.232 -5.177 1.563
Pm 0.000 0.000 0.000

Record 2
4
Lattice="3.810 0.000 0.000 0.000 4.306 0.000 -1.905 0.000 5.156" Properties=species:S:1:pos:R:3 comment="DyHoNiPt | Alexandria | PBE | optimized geometry" energy_ev_per_atom=-6.13 dos_ef_per_ev_atom=0.67 sg="No. 38" e_form_ev_per_atom=-0.88 e_above_lowest_polymorph_ev_per_atom=0.000 pbc="T T T"
Dy 0.000 0.000 1.457
Ho 1.905 2.153 3.721
Ni 0.000 0.000 4.333
Pt 1.905 2.153 0.802

Record 3
10
Lattice="3.844 0.000 0.000 0.000 3.844 0.000 0.000 0.000 19.277" Properties=species:S:1:pos:R:3 comment="Pm4PuMg5 | Alexandria | PBE | optimized geometry" energy_ev_per_atom=-4.16 dos_ef_per_ev_atom=1.50 sg="No. 123" e_form_ev_per_atom=-0.03 pbc="T T T"
Pm 0.000 0.000 3.806
Pm 0.000 0.000 7.686
Pm 0.000 0.000 11.591
Pm 0.000 0.000 15.471
Pu 0.000 0.000 0.000
Mg 1.922 1.922 1.885
Mg 1.922 1.922 5.746
Mg 1.922 1.922 9.639
Mg 1.922 1.922 13.531
Mg 1.922 1.922 17.392

Record 4
5
Lattice="5.946 0.000 0.000 0.000 5.946 0.000 0.000 0.000 6.082" Properties=species:S:1:pos:R:3 comment="YSb2HI | Alexandria | PBE | optimized geometry" energy_ev_per_atom=-3.45 dos_ef_per_ev_atom=1.12 sg="No. 123" e_above_lowest_polymorph_ev_per_atom=0.593 pbc="T T T"
I 0.000 0.000 3.041
Sb 0.000 2.973 0.000
Sb 2.973 0.000 0.000
Y 0.000 0.000 0.000
H 2.973 2.973 3.041

Record 5
4
Lattice="3.926 0.000 0.000 1.963 3.400 0.000 1.963 1.133 7.563" Properties=species:S:1:pos:R:3 comment="Lu2OsBr | Alexandria | PBE | optimized geometry" e_form_raw_kj_per_mol_atoms=-56 energy_ev_per_atom=-6.07 dos_ef_per_ev_atom=0.65 sg="No. 166" e_above_lowest_polymorph_ev_per_atom=0.128 pbc="T T T"
Lu 5.889 3.400 6.096
Lu 1.963 1.133 1.467
Os 0.000 0.000 0.000
Br 3.926 2.267 3.782

Record 6
16
Lattice="-2.329 2.446 -4.543 -4.260 -0.743 3.654 4.128 5.912 3.272" Properties=species:S:1:pos:R:3 comment="NaCaBeF5 | Alexandria | PBE | optimized geometry" e_form_raw_kj_per_mol_atoms=-327 energy_ev_per_atom=-5.44 dos_ef_per_ev_atom=0.00 sg="No. 15" pbc="T T T"
Na -2.555 1.845 1.617
Na 0.094 5.769 0.766
Ca 2.064 2.956 1.636
Ca 0.000 0.000 0.000
Be -1.914 2.905 -1.106
Be -0.547 4.710 3.489
F -3.024 1.071 3.609
F 0.563 6.544 -1.226
F -2.872 2.908 -2.358
F 0.411 4.707 4.741
F -0.555 3.565 -1.557
F -1.906 4.050 3.940
F -2.524 3.693 0.118
F 0.063 3.922 2.265
F -1.718 1.433 -0.572
F -0.743 6.182 2.955

Record 7
4
Lattice="6.055 0.015 0.000 2.604 5.466 0.000 -4.329 -2.740 3.226" Properties=species:S:1:pos:R:3 comment="LaSc2Te | Alexandria | PBE | optimized geometry" e_form_raw_kj_per_mol_atoms=-40 energy_ev_per_atom=-5.60 dos_ef_per_ev_atom=1.39 sg="No. 139" pbc="T T T"
La 3.027 0.007 1.613
Sc 0.000 0.000 0.000
Sc 4.329 2.740 0.000
Te 1.302 2.733 1.613

Record 8
10
Lattice="3.927 0.000 0.000 0.000 3.927 0.000 0.000 0.000 19.832" Properties=species:S:1:pos:R:3 comment="Sr5Zn4Cd | Alexandria | PBE | optimized geometry" energy_ev_per_atom=-1.65 dos_ef_per_ev_atom=0.69 sg="No. 123" e_form_ev_per_atom=-0.21 pbc="T T T"
Sr 1.964 1.964 2.121
Sr 1.964 1.964 6.020
Sr 1.964 1.964 9.916
Sr 1.964 1.964 13.811
Sr 1.964 1.964 17.710
Zn 0.000 0.000 4.060
Zn 0.000 0.000 7.972
Zn 0.000 0.000 11.860
Zn 0.000 0.000 15.772
Cd 0.000 0.000 0.000

Record 9
5
Lattice="4.776 0.000 0.000 0.000 4.776 0.000 0.000 0.000 4.776" Properties=species:S:1:pos:R:3 comment="NaNi3Au | Alexandria | PBE | optimized geometry" energy_ev_per_atom=-3.41 dos_ef_per_ev_atom=4.30 sg="No. 221" e_form_ev_per_atom=0.98 e_above_lowest_polymorph_ev_per_atom=0.000 pbc="T T T"
Ni 0.000 2.388 0.000
Ni 0.000 0.000 2.388
Ni 2.388 0.000 0.000
Au 0.000 0.000 0.000
Na 2.388 2.388 2.388

Record 10
18
Lattice="6.497 0.000 0.000 0.000 9.230 0.000 0.000 -4.615 7.992" Properties=species:S:1:pos:R:3 comment="Pu3Hg5Pb | Alexandria | PBE | optimized geometry" energy_ev_per_atom=-5.44 dos_ef_per_ev_atom=4.84 sg="No. 193" e_form_ev_per_atom=-0.08 pbc="T T T"
Pu 4.873 1.537 2.662
Pu 4.873 6.151 5.330
Pu 4.873 6.155 0.000
Pu 1.624 3.078 5.330
Pu 1.624 -1.537 2.662
Pu 1.624 3.074 0.000
Hg 0.000 4.615 2.663
Hg 3.248 0.000 5.329
Hg 0.000 0.000 5.329
Hg 3.248 4.615 2.663
Hg 4.873 3.063 5.305
Hg 4.873 -1.551 2.687
Hg 4.873 3.102 0.000
Hg 1.624 1.551 2.687
Hg 1.624 6.166 5.305
Hg 1.624 6.127 0.000
Pb 0.000 0.000 0.000
Pb 3.248 0.000 0.000

Record 11
5
Lattice="-0.031 -2.148 4.120 -3.493 -3.440 -1.819 3.458 -2.763 -1.414" Properties=species:S:1:pos:R:3 comment="Mn2SnPdW | Alexandria | PBE | optimized geometry" energy_ev_per_atom=-6.92 dos_ef_per_ev_atom=0.82 sg="No. 123" e_form_ev_per_atom=1.18 pbc="T T T"
Mn 1.729 -1.382 -0.707
Mn -0.016 -1.074 2.060
Pd -0.033 -4.175 0.443
Sn -1.746 -1.720 -0.910
W 0.000 0.000 0.000

Record 12
4
Lattice="4.764 0.000 0.000 2.382 4.126 0.000 2.382 1.375 3.890" Properties=species:S:1:pos:R:3 comment="NaCdHgRh | Alexandria | PBE | optimized geometry" energy_ev_per_atom=-2.50 dos_ef_per_ev_atom=0.56 sg="No. 216" e_form_ev_per_atom=-0.03 pbc="T T T"
Na 7.146 4.126 2.917
Rh 2.382 1.375 0.972
Hg 4.764 2.750 1.945
Cd 0.000 0.000 0.000